A plane-wave DFT calculation with PBE was carried out for a relaxed Ac2Cd3Hg2 crystal.

```
data_Ac2Cd3Hg2
_space_group_name_H-M_alt 'P 1'
_space_group_IT_number 1
_cell_length_a 5.044
_cell_length_b 6.187
_cell_length_c 7.509
_cell_angle_alpha 108.34
_cell_angle_beta 90.00
_cell_angle_gamma 114.05
loop_
_space_group_symop_operation_xyz
'x,y,z'
loop_
_atom_site_label
_atom_site_type_symbol
_atom_site_fract_x
_atom_site_fract_y
_atom_site_fract_z
_atom_site_occupancy
Hg1 Hg 0.840 0.681 0.766 1
Ac1 Ac 0.145 0.291 0.769 1
Ac2 Ac 0.855 0.709 0.231 1
Cd1 Cd 0.401 0.801 0.581 1
Hg2 Hg 0.160 0.319 0.234 1
Cd2 Cd 0.599 0.199 0.419 1
Cd3 Cd 0.500 0.000 0.000 1
```

* mass density: 9858 kg/m3
* energy above the most stable polymorph in this dataset: 0 meV/atom
* energy relative to the elements: -0.37 eV per atom
* symmetry: C2/m (12)
* total DFT energy (no corrections): -14.14 eV for the cell shown